one.
# NaOsPt PBE-GGA optimized geometry
# calculated volume	55.24	Å³/f.u.
data_NaOsPt
_chemical_formula_sum 'Na4 Os4 Pt4'
_symmetry_space_group_name_H-M 'F -4 3 m'
_symmetry_Int_Tables_number 216
_symmetry_space_group_name_Hall 'F -4 2 3'
_cell_length_a 6.0457
_cell_length_b 6.0457
_cell_length_c 6.0457
_cell_angle_alpha 90.00
_cell_angle_beta 90.00
_cell_angle_gamma 90.00
loop_
_atom_site_label
_atom_site_type_symbol
_atom_site_fract_x
_atom_site_fract_y
_atom_site_fract_z
Na1 Na 0.0000 0.0000 0.0000
Os1 Os 0.2500 0.2500 0.7500
Pt1 Pt 0.2500 0.2500 0.2500

***

two.
# NaOsPt PBE-GGA optimized geometry
# calculated volume	55.82	Å³/f.u.
data_NaOsPt
_chemical_formula_sum 'Na4 Os4 Pt4'
_symmetry_space_group_name_H-M 'F -4 3 m'
_symmetry_Int_Tables_number 216
_symmetry_space_group_name_Hall 'F -4 2 3'
_cell_length_a 6.0667
_cell_length_b 6.0667
_cell_length_c 6.0667
_cell_angle_alpha 90.00
_cell_angle_beta 90.00
_cell_angle_gamma 90.00
loop_
_atom_site_label
_atom_site_type_symbol
_atom_site_fract_x
_atom_site_fract_y
_atom_site_fract_z
Na1 Na 0.0000 0.0000 0.0000
Os1 Os 0.0000 0.0000 0.5000
Pt1 Pt 0.2500 0.2500 0.2500

***

Unit: meV/atom. Relative energies: one 827; two 0.

***

one.
# RbNaOs PBE-GGA optimized geometry
# calculated volume	101.71	Å³/f.u.
data_RbNaOs
_chemical_formula_sum 'Rb4 Na4 Os4'
_symmetry_space_group_name_H-M 'F -4 3 m'
_symmetry_Int_Tables_number 216
_symmetry_space_group_name_Hall 'F -4 2 3'
_cell_length_a 7.4099
_cell_length_b 7.4099
_cell_length_c 7.4099
_cell_angle_alpha 90.00
_cell_angle_beta 90.00
_cell_angle_gamma 90.00
loop_
_atom_site_label
_atom_site_type_symbol
_atom_site_fract_x
_atom_site_fract_y
_atom_site_fract_z
Rb1 Rb 0.0000 0.0000 0.0000
Na1 Na 0.2500 0.2500 0.7500
Os1 Os 0.2500 0.2500 0.2500

***

two.
# RbNaOs PBE-GGA optimized geometry
# calculated volume	106.04	Å³/f.u.
data_RbNaOs
_chemical_formula_sum 'Rb4 Na4 Os4'
_symmetry_space_group_name_H-M 'F -4 3 m'
_symmetry_Int_Tables_number 216
_symmetry_space_group_name_Hall 'F -4 2 3'
_cell_length_a 7.5135
_cell_length_b 7.5135
_cell_length_c 7.5135
_cell_angle_alpha 90.00
_cell_angle_beta 90.00
_cell_angle_gamma 90.00
loop_
_atom_site_label
_atom_site_type_symbol
_atom_site_fract_x
_atom_site_fract_y
_atom_site_fract_z
Rb1 Rb 0.0000 0.0000 0.0000
Na1 Na 0.0000 0.0000 0.5000
Os1 Os 0.2500 0.2500 0.7500

***

Unit: meV/atom. Relative energies: one 232; two 0.

***

one.
# NaZnReOs PBE-GGA optimized geometry
# calculated volume	58.99	Å³/f.u.
data_NaZnReOs
_chemical_formula_sum 'Na4 Zn4 Re4 Os4'
_symmetry_space_group_name_H-M 'F -4 3 m'
_symmetry_Int_Tables_number 216
_symmetry_space_group_name_Hall 'F -4 2 3'
_cell_length_a 6.1793
_cell_length_b 6.1793
_cell_length_c 6.1793
_cell_angle_alpha 90.00
_cell_angle_beta 90.00
_cell_angle_gamma 90.00
loop_
_atom_site_label
_atom_site_type_symbol
_atom_site_fract_x
_atom_site_fract_y
_atom_site_fract_z
Na1 Na 0.0000 0.0000 0.0000
Zn1 Zn 0.2500 0.2500 0.7500
Re1 Re 0.2500 0.2500 0.2500
Os1 Os 0.0000 0.0000 0.5000

***

two.
# NaZnReOs PBE-GGA optimized geometry
# calculated volume	59.46	Å³/f.u.
data_NaZnReOs
_chemical_formula_sum 'Na4 Zn4 Re4 Os4'
_symmetry_space_group_name_H-M 'F -4 3 m'
_symmetry_Int_Tables_number 216
_symmetry_space_group_name_Hall 'F -4 2 3'
_cell_length_a 6.1956
_cell_length_b 6.1956
_cell_length_c 6.1956
_cell_angle_alpha 90.00
_cell_angle_beta 90.00
_cell_angle_gamma 90.00
loop_
_atom_site_label
_atom_site_type_symbol
_atom_site_fract_x
_atom_site_fract_y
_atom_site_fract_z
Na1 Na 0.0000 0.0000 0.0000
Zn1 Zn 0.2500 0.2500 0.7500
Re1 Re 0.0000 0.0000 0.5000
Os1 Os 0.2500 0.2500 0.2500

***

Unit: meV/atom. Relative energies: one 0; two 49.

***

one.
# NaScTeOs PBE-GGA optimized geometry
# calculated volume	72.86	Å³/f.u.
data_NaScTeOs
_chemical_formula_sum 'Na4 Sc4 Te4 Os4'
_symmetry_space_group_name_H-M 'F -4 3 m'
_symmetry_Int_Tables_number 216
_symmetry_space_group_name_Hall 'F -4 2 3'
_cell_length_a 6.6302
_cell_length_b 6.6302
_cell_length_c 6.6302
_cell_angle_alpha 90.00
_cell_angle_beta 90.00
_cell_angle_gamma 90.00
loop_
_atom_site_label
_atom_site_type_symbol
_atom_site_fract_x
_atom_site_fract_y
_atom_site_fract_z
Na1 Na 0.0000 0.0000 0.0000
Sc1 Sc 0.2500 0.2500 0.7500
Te1 Te 0.2500 0.2500 0.2500
Os1 Os 0.0000 0.0000 0.5000

***

two.
# NaScTeOs PBE-GGA optimized geometry
# calculated volume	78.11	Å³/f.u.
data_NaScTeOs
_chemical_formula_sum 'Na4 Sc4 Te4 Os4'
_symmetry_space_group_name_H-M 'F -4 3 m'
_symmetry_Int_Tables_number 216
_symmetry_space_group_name_Hall 'F -4 2 3'
_cell_length_a 6.7857
_cell_length_b 6.7857
_cell_length_c 6.7857
_cell_angle_alpha 90.00
_cell_angle_beta 90.00
_cell_angle_gamma 90.00
loop_
_atom_site_label
_atom_site_type_symbol
_atom_site_fract_x
_atom_site_fract_y
_atom_site_fract_z
Na1 Na 0.0000 0.0000 0.0000
Sc1 Sc 0.0000 0.0000 0.5000
Te1 Te 0.2500 0.2500 0.2500
Os1 Os 0.2500 0.2500 0.7500

***

Unit: meV/atom. Relative energies: one 0; two 224.

***

one.
# NaSmOs PBE-GGA optimized geometry
# calculated volume	74.45	Å³/f.u.
data_NaSmOs
_chemical_formula_sum 'Na4 Sm4 Os4'
_symmetry_space_group_name_H-M 'F -4 3 m'
_symmetry_Int_Tables_number 216
_symmetry_space_group_name_Hall 'F -4 2 3'
_cell_length_a 6.6779
_cell_length_b 6.6779
_cell_length_c 6.6779
_cell_angle_alpha 90.00
_cell_angle_beta 90.00
_cell_angle_gamma 90.00
loop_
_atom_site_label
_atom_site_type_symbol
_atom_site_fract_x
_atom_site_fract_y
_atom_site_fract_z
Na1 Na 0.0000 0.0000 0.0000
Sm1 Sm 0.0000 0.0000 0.5000
Os1 Os 0.2500 0.2500 0.2500

***

two.
# NaSmOs PBE-GGA optimized geometry
# calculated volume	73.93	Å³/f.u.
data_NaSmOs
_chemical_formula_sum 'Na4 Sm4 Os4'
_symmetry_space_group_name_H-M 'F -4 3 m'
_symmetry_Int_Tables_number 216
_symmetry_space_group_name_Hall 'F -4 2 3'
_cell_length_a 6.6624
_cell_length_b 6.6624
_cell_length_c 6.6624
_cell_angle_alpha 90.00
_cell_angle_beta 90.00
_cell_angle_gamma 90.00
loop_
_atom_site_label
_atom_site_type_symbol
_atom_site_fract_x
_atom_site_fract_y
_atom_site_fract_z
Na1 Na 0.0000 0.0000 0.0000
Sm1 Sm 0.2500 0.2500 0.2500
Os1 Os 0.0000 0.0000 0.5000

***

Unit: meV/atom. Relative energies: one 0; two 340.

***

one.
# NaSrTcOs PBE-GGA optimized geometry
# calculated volume	75.81	Å³/f.u.
data_NaSrTcOs
_chemical_formula_sum 'Na4 Sr4 Tc4 Os4'
_symmetry_space_group_name_H-M 'F -4 3 m'
_symmetry_Int_Tables_number 216
_symmetry_space_group_name_Hall 'F -4 2 3'
_cell_length_a 6.7185
_cell_length_b 6.7185
_cell_length_c 6.7185
_cell_angle_alpha 90.00
_cell_angle_beta 90.00
_cell_angle_gamma 90.00
loop_
_atom_site_label
_atom_site_type_symbol
_atom_site_fract_x
_atom_site_fract_y
_atom_site_fract_z
Na1 Na 0.0000 0.0000 0.0000
Sr1 Sr 0.2500 0.2500 0.7500
Tc1 Tc 0.0000 0.0000 0.5000
Os1 Os 0.2500 0.2500 0.2500

***

two.
# NaSrTcOs PBE-GGA optimized geometry
# calculated volume	84.90	Å³/f.u.
data_NaSrTcOs
_chemical_formula_sum 'Na4 Sr4 Tc4 Os4'
_symmetry_space_group_name_H-M 'F -4 3 m'
_symmetry_Int_Tables_number 216
_symmetry_space_group_name_Hall 'F -4 2 3'
_cell_length_a 6.9768
_cell_length_b 6.9768
_cell_length_c 6.9768
_cell_angle_alpha 90.00
_cell_angle_beta 90.00
_cell_angle_gamma 90.00
loop_
_atom_site_label
_atom_site_type_symbol
_atom_site_fract_x
_atom_site_fract_y
_atom_site_fract_z
Na1 Na 0.0000 0.0000 0.0000
Sr1 Sr 0.0000 0.0000 0.5000
Tc1 Tc 0.2500 0.2500 0.2500
Os1 Os 0.2500 0.2500 0.7500

***

Unit: meV/atom. Relative energies: one 0; two 595.

***

one.
# NaTcOs PBE-GGA optimized geometry
# calculated volume	53.66	Å³/f.u.
data_NaTcOs
_chemical_formula_sum 'Na4 Tc4 Os4'
_symmetry_space_group_name_H-M 'F -4 3 m'
_symmetry_Int_Tables_number 216
_symmetry_space_group_name_Hall 'F -4 2 3'
_cell_length_a 5.9872
_cell_length_b 5.9872
_cell_length_c 5.9872
_cell_angle_alpha 90.00
_cell_angle_beta 90.00
_cell_angle_gamma 90.00
loop_
_atom_site_label
_atom_site_type_symbol
_atom_site_fract_x
_atom_site_fract_y
_atom_site_fract_z
Na1 Na 0.0000 0.0000 0.0000
Tc1 Tc 0.0000 0.0000 0.5000
Os1 Os 0.2500 0.2500 0.2500

***

two.
# NaTcOs PBE-GGA optimized geometry
# calculated volume	52.95	Å³/f.u.
data_NaTcOs
_chemical_formula_sum 'Na4 Tc4 Os4'
_symmetry_space_group_name_H-M 'F -4 3 m'
_symmetry_Int_Tables_number 216
_symmetry_space_group_name_Hall 'F -4 2 3'
_cell_length_a 5.9610
_cell_length_b 5.9610
_cell_length_c 5.9610
_cell_angle_alpha 90.00
_cell_angle_beta 90.00
_cell_angle_gamma 90.00
loop_
_atom_site_label
_atom_site_type_symbol
_atom_site_fract_x
_atom_site_fract_y
_atom_site_fract_z
Na1 Na 0.0000 0.0000 0.0000
Tc1 Tc 0.2500 0.2500 0.2500
Os1 Os 0.2500 0.2500 0.7500

***

Unit: meV/atom. Relative energies: one 0; two 1303.

***

one.
# NaYTeOs PBE-GGA optimized geometry
# calculated volume	79.49	Å³/f.u.
data_NaYTeOs
_chemical_formula_sum 'Na4 Y4 Te4 Os4'
_symmetry_space_group_name_H-M 'F -4 3 m'
_symmetry_Int_Tables_number 216
_symmetry_space_group_name_Hall 'F -4 2 3'
_cell_length_a 6.8252
_cell_length_b 6.8252
_cell_length_c 6.8252
_cell_angle_alpha 90.00
_cell_angle_beta 90.00
_cell_angle_gamma 90.00
loop_
_atom_site_label
_atom_site_type_symbol
_atom_site_fract_x
_atom_site_fract_y
_atom_site_fract_z
Na1 Na 0.0000 0.0000 0.0000
Y1 Y 0.2500 0.2500 0.7500
Te1 Te 0.2500 0.2500 0.2500
Os1 Os 0.0000 0.0000 0.5000

***

two.
# NaYTeOs PBE-GGA optimized geometry
# calculated volume	87.94	Å³/f.u.
data_NaYTeOs
_chemical_formula_sum 'Na4 Y4 Te4 Os4'
_symmetry_space_group_name_H-M 'F -4 3 m'
_symmetry_Int_Tables_number 216
_symmetry_space_group_name_Hall 'F -4 2 3'
_cell_length_a 7.0590
_cell_length_b 7.0590
_cell_length_c 7.0590
_cell_angle_alpha 90.00
_cell_angle_beta 90.00
_cell_angle_gamma 90.00
loop_
_atom_site_label
_atom_site_type_symbol
_atom_site_fract_x
_atom_site_fract_y
_atom_site_fract_z
Na1 Na 0.0000 0.0000 0.0000
Y1 Y 0.0000 0.0000 0.5000
Te1 Te 0.2500 0.2500 0.2500
Os1 Os 0.2500 0.2500 0.7500

***

Unit: meV/atom. Relative energies: one 0; two 199.